Entry from Alexandria via LeMat-Bulk: crystalline NdSc3Tl4 at its relaxed geometry (PBE).

Uncorrected energy = -4.426 eV per atom
Energy relative to the elements = -0.2724 eV per atom
Spin magnetization = 0.00 Bohr magnetons per cell

a = 5.212 Å, b = 7.399 Å, c = 10.423 Å
α = 90.00°, β = 90.00°, γ = 90.00°
Atoms (fractional coordinates):
Nd 0.000 0.500 0.000
Nd 0.000 0.500 0.500
Sc 0.000 0.000 0.500
Sc 0.000 0.000 0.000
Sc 0.505 0.000 0.750
Sc 0.497 0.500 0.250
Sc 0.495 0.000 0.250
Sc 0.503 0.500 0.750
Tl 0.500 0.235 0.000
Tl 0.500 0.765 0.500
Tl 0.995 0.765 0.250
Tl 0.500 0.235 0.500
Tl 0.005 0.765 0.750
Tl 0.500 0.765 0.000
Tl 0.005 0.235 0.750
Tl 0.995 0.235 0.250